# 1
Computed, not measured: an optimized crystal structure of SrMo3 at the PBE level of DFT.

Values from the calculation:
The calculation puts the density of states at the Fermi level at 4.30 states/eV/cell. The crystal system is orthorhombic. The calculation puts the energy above the lowest structure with this stoichiometry at 0.2439 eV/atom. For the energy, the calculation gives -30.46 eV for the cell shown.

Unit cell a=2.8475 b=4.4178 c=6.7553 alpha=90.00 beta=90.00 gamma=90.00
Closest atoms and distances in Å follow each position.
Space group Pmm2 (No. 25)
Asymmetric unit:
Sr  0.0000  0.0000  0.0000 [1 per cell]  2 Sr 2.85
Mo  0.0000  0.5000  0.6533 [1 per cell]  8 Mo 2.75-2.85
Mo  0.5000  0.0000  0.5006 [1 per cell]  8 Mo 2.57-2.85
Mo  0.5000  0.5000  0.3056 [1 per cell]  6 Mo 2.57-2.85

# 2
Computed, not measured: an optimized crystal structure of SrMo2 at the PBE level of DFT.

Values from the calculation:
The calculation puts the density of states at the Fermi level at 7.82 states/eV/cell. The crystal system is tetragonal. The calculation puts the energy above the lowest structure with this stoichiometry at 0.0049 eV/atom. For the energy, the calculation gives -42.74 eV for the cell shown.

Unit cell a=3.3282 b=3.3282 c=12.2555 alpha=90.00 beta=90.00 gamma=90.00
Closest atoms and distances in Å follow each position.
Space group I4/mmm (No. 139)
Asymmetric unit:
Sr  0.0000  0.0000  0.0000 [2 per cell]  4 Sr 3.33, 10 Mo 3.44-3.62
Mo  0.0000  0.0000  0.2958 [4 per cell]  4 Mo 2.61

# 3
Computed, not measured: an optimized crystal structure of SrMo3 at the PBE level of DFT.

Values from the calculation:
The calculation puts the density of states at the Fermi level at 4.38 states/eV/cell. The crystal system is hexagonal. The calculation puts the energy above the lowest structure with this stoichiometry at 0.2421 eV/atom. For the energy, the calculation gives -30.47 eV for the cell shown.

Unit cell a=3.2184 b=3.2184 c=9.1766 alpha=90.00 beta=90.00 gamma=120.00
Closest atoms and distances in Å follow each position.
Space group P-6m2 (No. 187)
Asymmetric unit:
Sr  0.0000  0.0000  0.0000 [1 per cell]  6 Sr 3.22, 6 Mo 3.32
Mo  0.0000  0.0000  0.5000 [1 per cell]  6 Mo 2.61
Mo  0.3333  0.6667  0.3004 [2 per cell]  3 Mo 2.61